VASP calculation (PBE) on an optimized crystal structure of Nd12TlIn4O3.

Computed properties:
Calculated total energy, eV/atom: -5.201
E_form (uncorrected), eV/atom: -0.931
Crystal system: cubic
DOS at the Fermi energy, states/eV/cell: 21.66

a = 10.4166 Å, b = 10.4166 Å, c = 10.4166 Å
α = 90.00°, β = 90.00°, γ = 90.00°
Last column: nearest neighbours and their distance in Å.
Space group Im-3m (No. 229)
One atom of each set of equivalent atoms:
Nd 0.0000 0.0000 0.2750 x12  1 O 2.34
Nd 0.0000 0.2500 0.5000 x12  2 O 2.60
Tl 0.0000 0.0000 0.0000 x2  6 Nd 2.86
In 0.2500 0.2500 0.2500 x8  12 Nd 3.68-3.69
O 0.0000 0.0000 0.5000 x6  6 Nd 2.34-2.60